P.
Density functional theory data (PBE-GGA) for an optimized crystal structure of CuGeBPd.

CIF file:
```
data_CuGeBPd
_chemical_formula_sum 'Cu1 Ge1 B1 Pd1'
_symmetry_space_group_name_H-M 'P 1'
_symmetry_Int_Tables_number 1
_cell_length_a 4.1786
_cell_length_b 4.1786
_cell_length_c 4.1786
_cell_angle_alpha 60.00
_cell_angle_beta 60.00
_cell_angle_gamma 60.00
loop_
_symmetry_equiv_pos_as_xyz
'x,y,z'
loop_
_atom_site_label
_atom_site_fract_x
_atom_site_fract_y
_atom_site_fract_z
B1 0.2500 0.2500 0.2500
Ge1 0.0000 0.0000 0.0000
Cu1 0.7500 0.7500 0.7500
Pd1 0.5000 0.5000 0.5000
```

## Properties
* SG: F-43m

Q.
Density functional theory data (PBE-GGA) for an optimized crystal structure of CuGeBPd.

CIF file:
```
data_CuGeBPd
_chemical_formula_sum 'Cu1 Ge1 B1 Pd1'
_symmetry_space_group_name_H-M 'P 1'
_symmetry_Int_Tables_number 1
_cell_length_a 4.1743
_cell_length_b 4.1743
_cell_length_c 4.1743
_cell_angle_alpha 60.00
_cell_angle_beta 60.00
_cell_angle_gamma 60.00
loop_
_symmetry_equiv_pos_as_xyz
'x,y,z'
loop_
_atom_site_label
_atom_site_fract_x
_atom_site_fract_y
_atom_site_fract_z
Pd1 0.2500 0.2500 0.2500
B1 0.5000 0.5000 0.5000
Ge1 0.0000 0.0000 0.0000
Cu1 0.7500 0.7500 0.7500
```

## Properties
* SG: F-43m

Stability, highest: Q

P.
Density functional theory data (PBE-GGA) for an optimized crystal structure of CuGeBPt.

CIF file:
```
data_CuGeBPt
_chemical_formula_sum 'Cu1 Ge1 B1 Pt1'
_symmetry_space_group_name_H-M 'P 1'
_symmetry_Int_Tables_number 1
_cell_length_a 4.1811
_cell_length_b 4.1811
_cell_length_c 4.1811
_cell_angle_alpha 60.00
_cell_angle_beta 60.00
_cell_angle_gamma 60.00
loop_
_symmetry_equiv_pos_as_xyz
'x,y,z'
loop_
_atom_site_label
_atom_site_fract_x
_atom_site_fract_y
_atom_site_fract_z
Cu1 0.7500 0.7500 0.7500
B1 0.5000 0.5000 0.5000
Pt1 0.2500 0.2500 0.2500
Ge1 0.0000 0.0000 0.0000
```

## Properties
* SG: F-43m
* total magnetic moment: 0.00 μB/f.u.

Q.
Density functional theory data (PBE-GGA) for an optimized crystal structure of CuGeBPt.

CIF file:
```
data_CuGeBPt
_chemical_formula_sum 'Cu1 Ge1 B1 Pt1'
_symmetry_space_group_name_H-M 'P 1'
_symmetry_Int_Tables_number 1
_cell_length_a 4.2053
_cell_length_b 4.2053
_cell_length_c 4.2053
_cell_angle_alpha 60.00
_cell_angle_beta 60.00
_cell_angle_gamma 60.00
loop_
_symmetry_equiv_pos_as_xyz
'x,y,z'
loop_
_atom_site_label
_atom_site_fract_x
_atom_site_fract_y
_atom_site_fract_z
B1 0.2500 0.2500 0.2500
Ge1 0.0000 0.0000 0.0000
Pt1 0.5000 0.5000 0.5000
Cu1 0.7500 0.7500 0.7500
```

## Properties
* SG: F-43m
* total magnetic moment: 0.00 μB/f.u.

Stability, highest: P

P.
Density functional theory data (PBE-GGA) for an optimized crystal structure of HfCuB4.

CIF file:
```
data_HfCuB4
_chemical_formula_sum 'Hf1 Cu1 B4'
_symmetry_space_group_name_H-M 'P 1'
_symmetry_Int_Tables_number 1
_cell_length_a 4.6722
_cell_length_b 4.6722
_cell_length_c 4.6722
_cell_angle_alpha 141.23
_cell_angle_beta 113.39
_cell_angle_gamma 79.82
loop_
_symmetry_equiv_pos_as_xyz
'x,y,z'
loop_
_atom_site_label
_atom_site_fract_x
_atom_site_fract_y
_atom_site_fract_z
B1 0.9444 0.2647 0.6798
B2 0.5849 0.2647 0.3202
B3 0.0556 0.7353 0.3202
B4 0.4151 0.7353 0.6798
Cu1 0.5000 0.5000 0.0000
Hf1 0.0000 0.0000 0.0000
```

## Properties
* SG: Immm
* total magnetic moment: 0.00 μB/f.u.

Q.
Density functional theory data (PBE-GGA) for an optimized crystal structure of HfCuB4.

CIF file:
```
data_HfCuB4
_chemical_formula_sum 'Hf1 Cu1 B4'
_symmetry_space_group_name_H-M 'P 1'
_symmetry_Int_Tables_number 1
_cell_length_a 3.1132
_cell_length_b 3.1132
_cell_length_c 6.6252
_cell_angle_alpha 90.00
_cell_angle_beta 90.00
_cell_angle_gamma 120.00
loop_
_symmetry_equiv_pos_as_xyz
'x,y,z'
loop_
_atom_site_label
_atom_site_fract_x
_atom_site_fract_y
_atom_site_fract_z
B1 0.6667 0.3333 0.2419
B2 0.6667 0.3333 0.7581
B3 0.3333 0.6667 0.7581
B4 0.3333 0.6667 0.2419
Cu1 0.0000 0.0000 0.0000
Hf1 0.0000 0.0000 0.5000
```

## Properties
* SG: P6/mmm
* total magnetic moment: 0.00 μB/f.u.

Stability, highest: P

P.
Density functional theory data (PBE-GGA) for an optimized crystal structure of HfCuBIr.

CIF file:
```
data_HfCuBIr
_chemical_formula_sum 'Hf1 Cu1 B1 Ir1'
_symmetry_space_group_name_H-M 'P 1'
_symmetry_Int_Tables_number 1
_cell_length_a 4.2803
_cell_length_b 4.2803
_cell_length_c 4.2803
_cell_angle_alpha 60.00
_cell_angle_beta 60.00
_cell_angle_gamma 60.00
loop_
_symmetry_equiv_pos_as_xyz
'x,y,z'
loop_
_atom_site_label
_atom_site_fract_x
_atom_site_fract_y
_atom_site_fract_z
Ir1 0.2500 0.2500 0.2500
Cu1 0.7500 0.7500 0.7500
B1 0.0000 0.0000 0.0000
Hf1 0.5000 0.5000 0.5000
```

## Properties
* SG: F-43m
* total magnetic moment: 0.00 μB/f.u.

Q.
Density functional theory data (PBE-GGA) for an optimized crystal structure of HfCuBIr.

CIF file:
```
data_HfCuBIr
_chemical_formula_sum 'Hf1 Cu1 B1 Ir1'
_symmetry_space_group_name_H-M 'P 1'
_symmetry_Int_Tables_number 1
_cell_length_a 4.3062
_cell_length_b 4.3062
_cell_length_c 4.3062
_cell_angle_alpha 60.00
_cell_angle_beta 60.00
_cell_angle_gamma 60.00
loop_
_symmetry_equiv_pos_as_xyz
'x,y,z'
loop_
_atom_site_label
_atom_site_fract_x
_atom_site_fract_y
_atom_site_fract_z
B1 0.0000 0.0000 0.0000
Ir1 0.5000 0.5000 0.5000
Cu1 0.7500 0.7500 0.7500
Hf1 0.2500 0.2500 0.2500
```

## Properties
* SG: F-43m
* total magnetic moment: 0.00 μB/f.u.

Stability, highest: P

P.
Density functional theory data (PBE-GGA) for an optimized crystal structure of HfMgCuB.

CIF file:
```
data_HfMgCuB
_chemical_formula_sum 'Hf1 Mg1 Cu1 B1'
_symmetry_space_group_name_H-M 'P 1'
_symmetry_Int_Tables_number 1
_cell_length_a 4.3246
_cell_length_b 4.3246
_cell_length_c 4.3246
_cell_angle_alpha 60.00
_cell_angle_beta 60.00
_cell_angle_gamma 60.00
loop_
_symmetry_equiv_pos_as_xyz
'x,y,z'
loop_
_atom_site_label
_atom_site_fract_x
_atom_site_fract_y
_atom_site_fract_z
Mg1 0.2500 0.2500 0.2500
Hf1 0.5000 0.5000 0.5000
Cu1 0.7500 0.7500 0.7500
B1 0.0000 0.0000 0.0000
```

## Properties
* SG: F-43m
* total magnetic moment: 0.00 μB/f.u.

Q.
Density functional theory data (PBE-GGA) for an optimized crystal structure of HfMgCuB.

CIF file:
```
data_HfMgCuB
_chemical_formula_sum 'Hf1 Mg1 Cu1 B1'
_symmetry_space_group_name_H-M 'P 1'
_symmetry_Int_Tables_number 1
_cell_length_a 4.2993
_cell_length_b 4.2993
_cell_length_c 4.2993
_cell_angle_alpha 60.00
_cell_angle_beta 60.00
_cell_angle_gamma 60.00
loop_
_symmetry_equiv_pos_as_xyz
'x,y,z'
loop_
_atom_site_label
_atom_site_fract_x
_atom_site_fract_y
_atom_site_fract_z
Cu1 0.7500 0.7500 0.7500
B1 0.0000 0.0000 0.0000
Mg1 0.5000 0.5000 0.5000
Hf1 0.2500 0.2500 0.2500
```

## Properties
* SG: F-43m
* total magnetic moment: 0.00 μB/f.u.

Stability, highest: Q

P.
Density functional theory data (PBE-GGA) for an optimized crystal structure of HfCuNiB.

CIF file:
```
data_HfCuNiB
_chemical_formula_sum 'Hf1 Cu1 Ni1 B1'
_symmetry_space_group_name_H-M 'P 1'
_symmetry_Int_Tables_number 1
_cell_length_a 4.1269
_cell_length_b 4.1269
_cell_length_c 4.1269
_cell_angle_alpha 60.00
_cell_angle_beta 60.00
_cell_angle_gamma 60.00
loop_
_symmetry_equiv_pos_as_xyz
'x,y,z'
loop_
_atom_site_label
_atom_site_fract_x
_atom_site_fract_y
_atom_site_fract_z
B1 0.0000 0.0000 0.0000
Ni1 0.5000 0.5000 0.5000
Cu1 0.7500 0.7500 0.7500
Hf1 0.2500 0.2500 0.2500
```

## Properties
* SG: F-43m
* total magnetic moment: 0.00 μB/f.u.

Q.
Density functional theory data (PBE-GGA) for an optimized crystal structure of HfCuNiB.

CIF file:
```
data_HfCuNiB
_chemical_formula_sum 'Hf1 Cu1 Ni1 B1'
_symmetry_space_group_name_H-M 'P 1'
_symmetry_Int_Tables_number 1
_cell_length_a 4.1149
_cell_length_b 4.1149
_cell_length_c 4.1149
_cell_angle_alpha 60.00
_cell_angle_beta 60.00
_cell_angle_gamma 60.00
loop_
_symmetry_equiv_pos_as_xyz
'x,y,z'
loop_
_atom_site_label
_atom_site_fract_x
_atom_site_fract_y
_atom_site_fract_z
Cu1 0.7500 0.7500 0.7500
B1 0.5000 0.5000 0.5000
Hf1 0.0000 0.0000 0.0000
Ni1 0.2500 0.2500 0.2500
```

## Properties
* SG: F-43m
* total magnetic moment: 0.00 μB/f.u.

R.
Density functional theory data (PBE-GGA) for an optimized crystal structure of HfCuNiB.

CIF file:
```
data_HfCuNiB
_chemical_formula_sum 'Hf1 Cu1 Ni1 B1'
_symmetry_space_group_name_H-M 'P 1'
_symmetry_Int_Tables_number 1
_cell_length_a 4.1123
_cell_length_b 4.1123
_cell_length_c 4.1123
_cell_angle_alpha 60.00
_cell_angle_beta 60.00
_cell_angle_gamma 60.00
loop_
_symmetry_equiv_pos_as_xyz
'x,y,z'
loop_
_atom_site_label
_atom_site_fract_x
_atom_site_fract_y
_atom_site_fract_z
Hf1 0.2500 0.2500 0.2500
Cu1 0.5000 0.5000 0.5000
Ni1 0.7500 0.7500 0.7500
B1 0.0000 0.0000 0.0000
```

## Properties
* SG: F-43m
* total magnetic moment: 0.00 μB/f.u.

Stability, highest: R